(1)
## LiRe3Pt (GGA-PBE)

Data for a geometry-optimized LiRe3Pt structure.

abc: 4.1226 4.1226 4.1226
angles: 90.00 90.00 90.00
Fractional positions:
Li  0.0000  0.0000  0.0000
Re  0.0000  0.0000  0.5000
Re  0.0000  0.5000  0.0000
Re  0.5000  0.0000  0.0000
Pt  0.5000  0.5000  0.5000

Computed properties:
DOS(E_F)	2.7	states/eV/f.u.
E above lowest polymorph	0.0	meV/atom
energy of formation from the pure elements	1.144	eV/atom
E_tot	-7.916	eV/atom



(2)
## LiRePt2 (GGA-PBE)

Data for a geometry-optimized LiRePt2 structure.

abc: 2.7333 3.8962 5.4230
angles: 90.00 90.00 90.00
Fractional positions:
Li  0.0000  0.0000  0.0000
Re  0.0000  0.0000  0.5000
Pt  0.5000  0.5000  0.2501
Pt  0.5000  0.5000  0.7499

Computed properties:
DOS(E_F)	2.1	states/eV/f.u.
E above lowest polymorph	79.1	meV/atom
energy of formation from the pure elements	-0.217	eV/atom
E_tot	-6.828	eV/atom



(3)
## LiRePt3 (GGA-PBE)

Data for a geometry-optimized LiRePt3 structure.

abc: 4.8582 4.8582 4.8582
angles: 90.00 90.00 90.00
Fractional positions:
Li  0.0000  0.0000  0.0000
Re  0.5000  0.5000  0.5000
Pt  0.0000  0.5000  0.5000
Pt  0.5000  0.0000  0.5000
Pt  0.5000  0.5000  0.0000

Computed properties:
DOS(E_F)	3.8	states/eV/f.u.
E above lowest polymorph	55.4	meV/atom
energy of formation from the pure elements	0.805	eV/atom
E_tot	-5.691	eV/atom



(4)
## LiRePt6 (GGA-PBE)

Data for a geometry-optimized LiRePt6 structure.

abc: 3.9294 3.9294 7.7882
angles: 90.00 90.00 90.00
Fractional positions:
Li  0.0000  0.0000  0.0000
Re  0.0000  0.0000  0.5000
Pt  0.0000  0.5000  0.2520
Pt  0.0000  0.5000  0.7480
Pt  0.5000  0.0000  0.2520
Pt  0.5000  0.0000  0.7480
Pt  0.5000  0.5000  0.0000
Pt  0.5000  0.5000  0.5000

Computed properties:
DOS(E_F)	8.6	states/eV/f.u.
energy of formation from the pure elements	-0.241	eV/atom
E_tot	-6.566	eV/atom



(5)
## LiRePt2 (GGA-PBE)

Data for a geometry-optimized LiRePt2 structure.

abc: 2.7699 2.7699 7.5283
angles: 90.00 90.00 90.00
Fractional positions:
Li  0.0000  0.0000  0.0000
Re  0.0000  0.0000  0.5000
Pt  0.5000  0.5000  0.2468
Pt  0.5000  0.5000  0.7532

Computed properties:
DOS(E_F)	1.1	states/eV/f.u.
E above lowest polymorph	0.0	meV/atom
energy of formation from the pure elements	-0.296	eV/atom
E_tot	-6.907	eV/atom



(6)
## LiRePt2 (GGA-PBE)

Data for a geometry-optimized LiRePt2 structure.

abc: 2.7211 2.7211 7.9910
angles: 90.00 90.00 90.00
Fractional positions:
Li  0.0000  0.0000  0.0000
Re  0.5000  0.5000  0.7330
Pt  0.0000  0.0000  0.4932
Pt  0.5000  0.5000  0.2254

Computed properties:
DOS(E_F)	3.6	states/eV/f.u.
E above lowest polymorph	287.0	meV/atom
energy of formation from the pure elements	-0.009	eV/atom
E_tot	-6.620	eV/atom



(7)
## LiRePt2 (GGA-PBE)

Data for a geometry-optimized LiRePt2 structure.

abc: 4.7725 4.7725 4.7725
angles: 132.80 132.80 68.96
Fractional positions:
Li  0.0000  0.0000  0.0000
Re  0.7500  0.2500  0.5000
Pt  0.2500  0.7500  0.5000
Pt  0.5000  0.5000  0.0000

Computed properties:
DOS(E_F)	3.2	states/eV/f.u.
E above lowest polymorph	228.2	meV/atom
energy of formation from the pure elements	-0.068	eV/atom
E_tot	-6.679	eV/atom



(8)
## LiRePt2 (GGA-PBE)

Data for a geometry-optimized LiRePt2 structure.

abc: 2.6982 4.1344 5.3422
angles: 90.00 90.00 90.00
Fractional positions:
Li  0.0000  0.0000  0.0000
Re  0.5000  0.5000  0.6929
Pt  0.0000  0.0000  0.5083
Pt  0.5000  0.5000  0.1700

Computed properties:
DOS(E_F)	3.1	states/eV/f.u.
E above lowest polymorph	165.9	meV/atom
energy of formation from the pure elements	-0.130	eV/atom
E_tot	-6.741	eV/atom